Entry 1:
# HfTl2Fe

Crystalline HfTl2Fe at its relaxed geometry (PBE-GGA, OQMD).

Geometry as POSCAR:
```
HfTl2Fe
1.0
0.0000 3.4283 3.4283
3.4283 0.0000 3.4283
3.4283 3.4283 0.0000
Fe Hf Tl
1 1 2
Cartesian
1.7142 1.7142 1.7142 Fe
3.4283 3.4283 3.4283 Hf
0.0000 0.0000 0.0000 Tl
5.1425 5.1425 5.1425 Tl
```

Summary:
Calculated total energy ... -20.7 eV/f.u.
Magnetic moment ... 0.448 μB per atom


Entry 2:
# Hf2TlFe

Crystalline Hf2TlFe at its relaxed geometry (PBE-GGA, OQMD).

Geometry as POSCAR:
```
Hf2TlFe
1.0
0.0000 3.3361 3.3361
3.3361 0.0000 3.3361
3.3361 3.3361 0.0000
Fe Hf Tl
1 2 1
Cartesian
1.6681 1.6681 1.6681 Fe
0.0000 0.0000 0.0000 Hf
5.0042 5.0042 5.0042 Hf
3.3361 3.3361 3.3361 Tl
```

Summary:
Calculated total energy ... -29.0 eV/f.u.
Magnetic moment ... 0.232 μB per atom


Entry 3:
# HfTlZnFe

Crystalline HfTlZnFe at its relaxed geometry (PBE-GGA, OQMD).

Geometry as POSCAR:
```
HfTlZnFe
1.0
0.0000 3.2591 3.2591
3.2591 0.0000 3.2591
3.2591 3.2591 0.0000
Fe Hf Tl Zn
1 1 1 1
Cartesian
4.8887 4.8887 4.8887 Fe
3.2591 3.2591 3.2591 Hf
0.0000 0.0000 0.0000 Tl
1.6296 1.6296 1.6296 Zn
```

Summary:
ΔE to the lowest computed polymorph ... 0.00 eV per formula unit
Calculated total energy ... -21.0 eV/f.u.
Magnetic moment ... 0.372 μB per atom


Entry 4:
# HfTlZnFe

Crystalline HfTlZnFe at its relaxed geometry (PBE-GGA, OQMD).

Geometry as POSCAR:
```
HfTlZnFe
1.0
0.0000 3.2914 3.2914
3.2914 0.0000 3.2914
3.2914 3.2914 0.0000
Fe Hf Tl Zn
1 1 1 1
Cartesian
4.9372 4.9372 4.9372 Fe
1.6457 1.6457 1.6457 Hf
0.0000 0.0000 0.0000 Tl
3.2914 3.2914 3.2914 Zn
```

Summary:
ΔE to the lowest computed polymorph ... 0.33 eV per formula unit
Calculated total energy ... -20.7 eV/f.u.
Magnetic moment ... 0.548 μB per atom


Entry 5:
# TmHfFe

Crystalline TmHfFe at its relaxed geometry (PBE-GGA, OQMD).

Geometry as POSCAR:
```
TmHfFe
1.0
-1.0524 1.4310 4.0864
0.5522 4.2902 1.0691
-3.5525 2.6226 0.5960
Fe Hf Tm
1 1 1
Cartesian
0.0000 0.0000 0.0000 Fe
-1.0132 2.0859 1.4378 Hf
-3.0395 6.2578 4.3135 Tm
```

Summary:
ΔE to the lowest computed polymorph ... 0.00 eV per formula unit
Calculated total energy ... -22.3 eV/f.u.
Magnetic moment ... 0.001 μB per atom
ΔE_f ... 0.138 eV per atom


Entry 6:
# HfUFe

Crystalline HfUFe at its relaxed geometry (PBE-GGA, OQMD).

Geometry as POSCAR:
```
HfUFe
1.0
-4.0010 1.6253 0.6722
-2.3867 1.4000 -3.3830
-3.5183 -2.2575 -1.2752
Fe Hf U
1 1 1
Cartesian
0.0000 0.0000 0.0000 Fe
-7.4295 0.5758 -2.9895 Hf
-2.4765 0.1919 -0.9965 U
```

Summary:
ΔE to the lowest computed polymorph ... 0.00 eV per formula unit
Calculated total energy ... -28.4 eV/f.u.
Magnetic moment ... 0.568 μB per atom
ΔE_f ... 0.374 eV per atom


Entry 7:
# HfUFe

Crystalline HfUFe at its relaxed geometry (PBE-GGA, OQMD).

Geometry as POSCAR:
```
HfUFe
1.0
0.0000 3.0830 3.0830
3.0830 0.0000 3.0830
3.0830 3.0830 0.0000
Fe Hf U
1 1 1
Cartesian
1.5415 1.5415 1.5415 Fe
4.6245 4.6245 4.6245 Hf
0.0000 0.0000 0.0000 U
```

Summary:
ΔE to the lowest computed polymorph ... 1.86 eV per formula unit
Calculated total energy ... -26.6 eV/f.u.
Magnetic moment ... 0.012 μB per atom
ΔE_f ... 0.994 eV per atom


Entry 8:
# HfFe2W

Crystalline HfFe2W at its relaxed geometry (PBE-GGA, OQMD).

Geometry as POSCAR:
```
HfFe2W
1.0
0.0000 3.0673 3.0673
3.0673 0.0000 3.0673
3.0673 3.0673 0.0000
Fe Hf W
2 1 1
Cartesian
0.0000 0.0000 0.0000 Fe
1.5336 1.5336 1.5336 Fe
3.0673 3.0673 3.0673 Hf
4.6009 4.6009 4.6009 W
```

Summary:
Calculated total energy ... -38.8 eV/f.u.
Magnetic moment ... 0.540 μB per atom
ΔE_f ... 0.192 eV per atom


Entry 9:
# Hf9FeW4

Crystalline Hf9FeW4 at its relaxed geometry (PBE-GGA, OQMD).

Geometry as POSCAR:
```
Hf9FeW4
1.0
8.6807 0.0000 0.0000
-4.3403 7.5177 0.0000
0.0000 0.0000 8.4509
Fe Hf W
2 18 8
Cartesian
0.0000 5.0117 2.1127 Fe
4.3403 2.5060 6.3382 Fe
0.0000 3.0347 0.5022 Hf
-1.7122 6.0004 0.5022 Hf
1.7122 6.0004 0.5022 Hf
4.3403 0.6217 2.1127 Hf
2.7086 3.4480 2.1127 Hf
5.9721 3.4480 2.1127 Hf
-1.7122 6.0004 3.7233 Hf
1.7122 6.0004 3.7233 Hf
0.0000 3.0347 3.7233 Hf
4.3403 4.4830 4.7277 Hf
2.6281 1.5174 4.7277 Hf
6.0526 1.5174 4.7277 Hf
-1.6318 4.0697 6.3382 Hf
1.6318 4.0697 6.3382 Hf
0.0000 6.8960 6.3382 Hf
2.6281 1.5174 7.9487 Hf
6.0526 1.5174 7.9487 Hf
4.3403 4.4830 7.9488 Hf
0.0000 0.0000 0.0000 W
1.4611 0.8435 2.1127 W
7.2196 0.8435 2.1127 W
4.3403 5.8306 2.1127 W
0.0000 0.0000 4.2255 W
0.0000 1.6871 6.3382 W
-2.8793 6.6742 6.3382 W
2.8793 6.6742 6.3382 W
```

Summary:
Calculated total energy ... -151.3 eV/f.u.
Magnetic moment ... 0.001 μB per atom
ΔE_f ... -0.111 eV per atom


Entry 10:
# Hf2Fe2W

Crystalline Hf2Fe2W at its relaxed geometry (PBE-GGA, OQMD).

Geometry as POSCAR:
```
Hf2Fe2W
1.0
-1.7112 1.7112 7.0831
1.7112 -1.7112 7.0831
1.7112 1.7112 -7.0831
Fe Hf W
2 2 1
Cartesian
0.0000 1.7112 3.5416 Fe
1.7112 0.0000 3.5416 Fe
0.0000 0.0000 5.5817 Hf
0.0000 0.0000 8.5845 Hf
0.0000 0.0000 0.0000 W
```

Summary:
Calculated total energy ... -47.6 eV/f.u.
Magnetic moment ... 0.740 μB per atom
ΔE_f ... 0.374 eV per atom


Entry 11:
# HfFeW2

Crystalline HfFeW2 at its relaxed geometry (PBE-GGA, OQMD).

Geometry as POSCAR:
```
HfFeW2
1.0
-1.4490 -0.2923 4.2112
-1.0776 3.7001 2.2510
-4.2727 0.8664 0.9549
Fe Hf W
1 1 2
Cartesian
-1.6998 1.0685 1.8543 Fe
-3.3997 2.1371 3.7086 Hf
0.0000 0.0000 0.0000 W
-5.0995 3.2056 5.5629 W
```

Summary:
Calculated total energy ... -44.1 eV/f.u.
Magnetic moment ... 0.034 μB per atom
ΔE_f ... 0.034 eV per atom


Entry 12:
# Hf2Fe2W3

Crystalline Hf2Fe2W3 at its relaxed geometry (PBE-GGA, OQMD).

Geometry as POSCAR:
```
Hf2Fe2W3
1.0
3.4516 6.1223 -0.3198
3.4788 4.7195 3.8888
6.3056 2.9723 0.9500
Fe Hf W
2 2 3
Cartesian
0.6128 0.6396 0.2092 Fe
6.3941 6.6734 2.1831 Fe
2.5419 2.6530 0.8679 Hf
10.1622 10.6060 3.4696 Hf
4.5600 4.7592 1.5569 W
8.2612 8.6221 2.8205 W
12.1393 12.6695 4.1446 W
```

Summary:
Calculated total energy ... -75.5 eV/f.u.
Magnetic moment ... 0.241 μB per atom
ΔE_f ... -0.009 eV per atom